VASP calculation (GGA-PBE) on an optimized crystal structure of K3LaIr.

a = 6.121 Å, b = 6.121 Å, c = 6.121 Å
α = 90.00°, β = 90.00°, γ = 90.00°
Fractional positions:
K: 0.000 0.000 0.500
K: 0.000 0.500 0.000
K: 0.500 0.000 0.000
La: 0.000 0.000 0.000
Ir: 0.500 0.500 0.500

symmetry	Pm-3m
Fermi-level density of states	16.71	states/eV/f.u.
relative energy among the computed polymorphs	964	meV per atom
VASP energy	-6.81	eV for the cell shown